Computed, not measured: an optimized crystal structure of EuEr2Hg at the PBE-GGA level of DFT.

Unit cell a=4.877 b=4.877 c=4.778 alpha=90.00 beta=90.00 gamma=90.00
Positions (direct):
Eu1 0.000 0.000 0.000
Er1 0.000 0.500 0.500
Er2 0.500 0.000 0.500
Hg1 0.500 0.500 0.000

## Properties
DFT formation energy = -103 meV/atom

---

Computed, not measured: an optimized crystal structure of Pm2Ge3Ir4Ru at the PBE-GGA level of DFT.

Unit cell a=4.221 b=4.221 c=10.378 alpha=90.00 beta=90.00 gamma=90.00
Positions (direct):
Pm1 0.000 0.500 0.247
Pm2 0.500 0.000 0.753
Ge1 0.000 0.500 0.868
Ge2 0.500 0.000 0.132
Ge3 0.500 0.500 0.500
Ir1 0.000 0.000 0.000
Ir2 0.000 0.500 0.632
Ir3 0.500 0.000 0.368
Ir4 0.500 0.500 0.000
Ru1 0.000 0.000 0.500

## Properties
DFT formation energy = -647 meV/atom

---

Computed, not measured: an optimized crystal structure of Rb2TbErS4 at the PBE-GGA level of DFT.

Unit cell a=7.054 b=4.072 c=8.038 alpha=90.00 beta=107.01 gamma=90.00
Positions (direct):
Rb1 0.000 0.000 0.000
Rb2 0.500 0.500 0.000
Tb1 0.000 0.500 0.500
Er1 0.500 0.000 0.500
S1 0.234 0.000 0.692
S2 0.273 0.500 0.309
S3 0.727 0.500 0.691
S4 0.766 0.000 0.308

## Properties
energy relative to the elements, uncorrected = -1.854 eV per atom

---

Number 1: DOS(E_F) 4.27 states/eV/cell, density 10.04 g cm⁻³. Number 2: DOS(E_F) 7.27 states/eV/cell, density 12.37 g cm⁻³. Number 3: DOS(E_F) 0.00 states/eV/cell, density 4.70 g cm⁻³.